VASP calculation (SCAN) on Cs2KU2Si4O14 at its PBEsol-relaxed geometry.

E ... -21.22 eV/atom
Raw formation energy ... -69.8 eV/f.u.

Cell: 7.211 7.211 7.629 Å, 90.00 90.00 108.49°
Last column: magnetic moment on the atom in μB.
Fractional coordinates of all 23 atoms:
Cs  0.785  0.215  0.000  0.00
Cs  0.215  0.785  0.000  0.00
K  0.000  0.000  0.500  0.00
U  0.500  0.000  0.500  1.53
U  0.000  0.500  0.500  1.53
Si  0.693  0.693  0.205  0.00
Si  0.307  0.307  0.205  0.00
Si  0.693  0.693  0.795  0.00
Si  0.307  0.307  0.795  0.00
O  0.751  0.249  0.500  -0.05
O  0.500  0.500  0.802  0.00
O  0.500  0.500  0.198  0.00
O  0.249  0.751  0.500  -0.05
O  0.646  0.876  0.705  -0.01
O  0.354  0.124  0.705  -0.01
O  0.876  0.646  0.295  -0.01
O  0.124  0.354  0.295  -0.01
O  0.354  0.124  0.295  -0.01
O  0.646  0.876  0.295  -0.01
O  0.124  0.354  0.705  -0.01
O  0.876  0.646  0.705  -0.01
O  0.243  0.243  0.000  0.00
O  0.757  0.757  0.000  0.00